[1]
A plane-wave DFT calculation with PBE was carried out for a relaxed Pr2ThZn3 crystal.

abc: 3.6944 3.6944 11.1059
angles: 90.00 90.00 90.00
Fractional coordinates of all 6 atoms:
Th  0.5000  0.5000  0.5000
Pr  0.5000  0.5000  0.8312
Pr  0.5000  0.5000  0.1688
Zn  0.0000  0.0000  0.0000
Zn  0.0000  0.0000  0.3354
Zn  0.0000  0.0000  0.6646

Computed properties:
Energy above the most stable polymorph in this dataset = 0.0 meV per atom
Final energy = -0.1367 hartree per atom
Space-group type = P4/mmm
Density of states at the Fermi level = 7.1 states/eV per cell
Formation energy from the elements = -0.254 eV per atom

[2]
A plane-wave DFT calculation with PBE was carried out for a relaxed LaTl2GaS4 crystal.

abc: 8.3628 8.3628 8.7452
angles: 121.51 121.51 90.37
Fractional coordinates of all 16 atoms:
Tl  0.5000  0.0000  0.0000
S  0.7568  0.7447  0.9441
Tl  0.0000  0.0000  0.5000
Ga  0.0000  0.0000  0.0000
Tl  0.5000  0.0000  0.5000
La  0.0000  0.5000  0.0000
S  0.7553  0.7432  0.5559
La  0.0000  0.5000  0.5000
S  0.7953  0.2430  0.0192
Ga  0.5000  0.5000  0.5000
S  0.7430  0.2953  0.5192
S  0.2447  0.2568  0.4441
Tl  0.5000  0.5000  0.0000
S  0.2570  0.7047  0.4808
S  0.2432  0.2553  0.0559
S  0.2047  0.7570  0.9808

Computed properties:
Final energy = -0.1658 hartree per atom
Space-group type = C2/c
Uncorrected formation energy = -0.861 eV per atom
Density of states at the Fermi level = 2.2 states/eV per cell

[3]
A plane-wave DFT calculation with PBE was carried out for a relaxed AlInOs2 crystal.

abc: 4.4268 4.4267 3.1649
angles: 90.00 90.00 89.95
Fractional coordinates of all 4 atoms:
Os  0.5000  0.5000  0.0000
Os  0.0000  0.0000  0.0000
In  0.0000  0.5000  0.5000
Al  0.5000  0.0000  0.5000

Computed properties:
Energy above the most stable polymorph in this dataset = 112.7 meV per atom
Final energy = -0.2579 hartree per atom
Space-group type = P4/mmm
Density of states at the Fermi level = 4.7 states/eV per cell
Formation energy from the elements = 0.218 eV per atom

[4]
A plane-wave DFT calculation with PBE was carried out for a relaxed NpCuGe crystal.

abc: 4.4373 4.4373 4.4373
angles: 60.00 60.00 60.00
Last column: magnetic moment on the atom in μB.
Fractional coordinates of all 3 atoms:
Cu  0.2500  0.2500  0.2500  0.00
Np  0.0000  0.0000  0.0000  3.74
Ge  0.5000  0.5000  0.5000  -0.05

Computed properties:
Final energy = -0.2620 hartree per atom
Space-group type = F-43m
Density of states at the Fermi level = 11.9 states/eV per cell
Formation energy from the elements = 0.090 eV per atom

[5]
A plane-wave DFT calculation with PBE was carried out for a relaxed Be2CuAs crystal.

abc: 2.7649 2.7649 6.4842
angles: 90.00 90.00 90.00
Fractional coordinates of all 4 atoms:
Be  0.0000  0.0000  0.4356
As  0.5000  0.5000  0.7500
Cu  0.5000  0.5000  0.2500
Be  0.0000  0.0000  0.0644

Computed properties:
Final energy = -0.1382 hartree per atom
Space-group type = P4/mmm
Density of states at the Fermi level = 1.5 states/eV per cell
Formation energy from the elements = 0.289 eV per atom

[6]
A plane-wave DFT calculation with PBE was carried out for a relaxed PaTiNbCo crystal.

abc: 4.6243 4.6243 4.6243
angles: 60.00 60.00 60.00
Last column: magnetic moment on the atom in μB.
Fractional coordinates of all 4 atoms:
Pa  0.2500  0.2500  0.2500  0.01
Ti  0.7500  0.7500  0.7500  0.01
Co  0.0000  0.0000  0.0000  -0.08
Nb  0.5000  0.5000  0.5000  0.00

Computed properties:
Final energy = -0.3196 hartree per atom
Space-group type = F-43m
Density of states at the Fermi level = 4.3 states/eV per cell
Formation energy from the elements = -0.054 eV per atom

Q: What is the formula in the fourth record?
A: NpCuGe